BaLi2CuNi | PBE | relaxed

For the magnetic moment, the calculation gives 0.000 μB per atom. For the energy relative to the elements, the calculation gives 0.74 eV/f.u. Its total energy is -2.978 eV/atom.

It has space group P4/mmm (No. 123), with a = 4.720 Å, b = 4.720 Å, c = 4.893 Å, α = 90.00°, β = 90.00° and γ = 90.00°. The asymmetric unit holds Ba at (0.000, 0.000, 0.000), Li at (0.000, 0.500, 0.500), Cu at (0.500, 0.500, 0.000) and Ni at (0.500, 0.500, 0.500).

***

Pb3S3Br | PBE | relaxed

For the magnetic moment, the calculation gives 0.000 μB per atom. For the uncorrected formation energy, the calculation gives -406 meV per atom. Its total energy is -4.003 eV/atom.

It has space group R-3 (No. 148, hexagonal axes), with a = 8.5172 Å, b = 8.5172 Å, c = 21.3417 Å, α = 90.00°, β = 90.00° and γ = 120.00°. The asymmetric unit holds Pb at (0.0106, 0.3613, 0.4054), S at (0.0125, 0.3119, 0.6088) and Br at (0.0000, 0.0000, 0.1696).